First-principles (GGA-PBE) data for a relaxed Ti2Be2Cr crystal, as listed in Alexandria via LeMat-Bulk.

Cell: 6.4105 6.4105 3.1262 Å, 90.00 90.00 90.00°
Last column: nearest neighbours and their distance in Å.
Fractional positions:
Ti 0.1798 0.3202 0.0000  6 Be 2.42-2.50
Ti 0.3202 0.8202 0.0000  6 Be 2.42-2.50
Ti 0.6798 0.1798 0.0000  6 Be 2.42-2.50
Ti 0.8202 0.6798 0.0000  6 Be 2.42-2.50
Be 0.1171 0.6171 0.5000  1 Be 2.12
Be 0.3829 0.1171 0.5000  1 Be 2.12
Be 0.6171 0.8829 0.5000  1 Be 2.12
Be 0.8829 0.3829 0.5000  1 Be 2.12
Cr 0.0000 0.0000 0.5000  4 Be 2.57, 8 Ti 2.83
Cr 0.5000 0.5000 0.5000  4 Be 2.57, 8 Ti 2.83

V: 12.8 Å³/atom
space group: No. 127
crystal system: tetragonal
size of the total moment: 1.89 μB/f.u.
final energy: -6.564 eV per atom
energy of formation: 9 meV per atom
polymorph energy (0 for the lowest one): 0.000 kcal/mol of atoms